*P*
Compound: ZnTc2
Source: Alexandria via LeMat-Bulk
Functional: GGA-PBE
Structure: relaxed

Values from the calculation:
Total magnetization   0.0 μB/cell

Unit cell a=5.1677 b=5.1677 c=6.3756 alpha=74.17 beta=74.17 gamma=32.08
Closest atoms and distances in Å follow each position.
Atoms (fractional coordinates):
Zn  0.9484  0.9484  0.6013  4 Zn 2.68-2.86, 8 Tc 2.71-2.82
Zn  0.2864  0.2864  0.9345  4 Zn 2.68-2.86, 8 Tc 2.71-2.74
Tc  0.0008  0.0008  0.0135  8 Tc 2.63-2.86, 4 Zn 2.73-2.82
Tc  0.6145  0.6145  0.2657  8 Tc 2.63-2.86, 4 Zn 2.71
Tc  0.3206  0.3206  0.3408  9 Tc 2.65-2.86, 3 Zn 2.71-2.76
Tc  0.6626  0.6626  0.6775  7 Tc 2.68-2.86, 5 Zn 2.72-2.74


*Q*
Compound: ZnTc2
Source: Alexandria via LeMat-Bulk
Functional: GGA-PBE
Structure: relaxed

Values from the calculation:
Total magnetization   0.0 μB/cell

Unit cell a=5.8755 b=5.8755 c=5.8755 alpha=90.00 beta=90.00 gamma=90.00
Closest atoms and distances in Å follow each position.
Atoms (fractional coordinates):
Zn  0.0000  0.0000  0.0000  6 Tc 2.47
Zn  0.5000  0.5000  0.0000  6 Tc 2.47
Zn  0.5000  0.0000  0.5000  6 Tc 2.47
Zn  0.0000  0.5000  0.5000  6 Tc 2.47
Tc  0.3898  0.3898  0.3898  1 Tc 2.24, 3 Zn 2.47
Tc  0.6102  0.6102  0.6102  1 Tc 2.24, 3 Zn 2.47
Tc  0.8898  0.1102  0.6102  1 Tc 2.24, 3 Zn 2.47
Tc  0.1102  0.8898  0.3898  1 Tc 2.24, 3 Zn 2.47
Tc  0.6102  0.8898  0.1102  1 Tc 2.24, 3 Zn 2.47
Tc  0.3898  0.1102  0.8898  1 Tc 2.24, 3 Zn 2.47
Tc  0.1102  0.6102  0.8898  1 Tc 2.24, 3 Zn 2.47
Tc  0.8898  0.3898  0.1102  1 Tc 2.24, 3 Zn 2.47


Most stable one: *P*, least stable one: *Q*.


*P*
Compound: ZnTc2
Source: Alexandria via LeMat-Bulk
Functional: GGA-PBE
Structure: relaxed

Values from the calculation:
Total magnetization   0.0 μB/cell

Unit cell a=2.7986 b=5.2077 c=6.3838 alpha=75.49 beta=90.00 gamma=74.41
Closest atoms and distances in Å follow each position.
Atoms (fractional coordinates):
Tc  0.9893  0.0214  0.9885  7 Tc 2.65-2.80, 5 Zn 2.70-2.80
Tc  0.6075  0.7850  0.7277  9 Tc 2.64-2.82, 3 Zn 2.74-2.79
Tc  0.3369  0.3261  0.6611  9 Tc 2.64-2.82, 3 Zn 2.74-2.79
Tc  0.9551  0.0898  0.4004  7 Tc 2.65-2.80, 5 Zn 2.70-2.80
Zn  0.6690  0.6619  0.3266  4 Zn 2.62-2.80, 8 Tc 2.70-2.80
Zn  0.2754  0.4492  0.0623  4 Zn 2.62-2.80, 8 Tc 2.70-2.80


*Q*
Compound: ZnTc2
Source: Alexandria via LeMat-Bulk
Functional: GGA-PBE
Structure: relaxed

Values from the calculation:
Total magnetization   0.0 μB/cell

Unit cell a=7.3154 b=7.3154 c=2.7666 alpha=90.00 beta=90.00 gamma=120.00
Closest atoms and distances in Å follow each position.
Atoms (fractional coordinates):
Zn  0.0000  0.0000  0.5000  9 Tc 2.61-2.64, 2 Zn 2.77
Zn  0.3333  0.6667  0.0000  9 Tc 2.54-2.73, 2 Zn 2.77
Zn  0.6667  0.3333  0.0000  9 Tc 2.54-2.73, 2 Zn 2.77
Tc  0.0000  0.3072  0.0000  4 Zn 2.54-2.64, 8 Tc 2.77-2.82
Tc  0.0000  0.6427  0.5000  5 Zn 2.61-2.73, 8 Tc 2.77-2.82
Tc  0.3072  0.0000  0.0000  4 Zn 2.54-2.64, 8 Tc 2.77-2.82
Tc  0.6928  0.6928  0.0000  4 Zn 2.54-2.64, 8 Tc 2.77-2.82
Tc  0.6427  0.0000  0.5000  5 Zn 2.61-2.73, 8 Tc 2.77-2.82
Tc  0.3573  0.3573  0.5000  5 Zn 2.61-2.73, 8 Tc 2.77-2.82


*R*
Compound: ZnTc2
Source: Alexandria via LeMat-Bulk
Functional: GGA-PBE
Structure: relaxed

Values from the calculation:
Total magnetization   0.0 μB/cell

Unit cell a=3.0799 b=3.0799 c=5.0446 alpha=107.77 beta=107.77 gamma=90.00
Closest atoms and distances in Å follow each position.
Atoms (fractional coordinates):
Zn  0.0000  0.0000  0.0000  10 Tc 2.69-2.97
Tc  0.6741  0.6741  0.3481  4 Tc 2.58, 4 Zn 2.69
Tc  0.3259  0.3259  0.6519  4 Tc 2.58, 4 Zn 2.69


Most stable one: *R*, least stable one: *Q*.